# 1
Entry from Alexandria via LeMat-Bulk: crystalline Ta5Re2Tc at its relaxed geometry (PBE-GGA).

Values from the calculation:
The calculation puts the density of states at the Fermi level at 12.64 states/eV/cell. The formation energy comes out at -0.225 eV per atom.

a = 4.540 Å, b = 5.530 Å, c = 10.813 Å
α = 90.00°, β = 90.00°, γ = 90.00°
Positions (direct):
Re 0.500 0.668 0.619
Re 0.500 0.168 0.881
Re 0.500 0.332 0.381
Re 0.500 0.832 0.119
Ta 0.500 0.837 0.379
Ta 0.000 0.500 0.500
Ta 0.000 0.154 0.260
Ta 0.500 0.337 0.121
Ta 0.000 0.346 0.760
Ta 0.500 0.163 0.621
Ta 0.000 0.846 0.740
Ta 0.000 0.000 0.000
Ta 0.500 0.663 0.879
Ta 0.000 0.654 0.240
Tc 0.000 0.000 0.500
Tc 0.000 0.500 0.000

# 2
Entry from Alexandria via LeMat-Bulk: crystalline Ta2ReTc at its relaxed geometry (PBE-GGA).

Values from the calculation:
The calculation puts the density of states at the Fermi level at 3.97 states/eV/cell. The formation energy comes out at -0.037 eV per atom.

a = 2.795 Å, b = 2.795 Å, c = 8.977 Å
α = 90.00°, β = 90.00°, γ = 110.44°
Positions (direct):
Re 0.500 0.500 0.744
Tc 0.000 0.000 0.505
Ta 0.500 0.500 0.259
Ta 0.000 0.000 0.992

# 3
Entry from Alexandria via LeMat-Bulk: crystalline Ta2ReTc at its relaxed geometry (PBE-GGA).

Values from the calculation:
The calculation puts the density of states at the Fermi level at 2.97 states/eV/cell. The formation energy comes out at -0.192 eV per atom.

a = 5.238 Å, b = 5.238 Å, c = 5.238 Å
α = 144.55°, β = 127.42°, γ = 65.02°
Positions (direct):
Re 0.250 0.750 0.500
Tc 0.750 0.250 0.500
Ta 0.000 0.000 0.000
Ta 0.500 0.500 0.000

# 4
Entry from Alexandria via LeMat-Bulk: crystalline Ta2ReTc at its relaxed geometry (PBE-GGA).

Values from the calculation:
The calculation puts the density of states at the Fermi level at 2.52 states/eV/cell. The formation energy comes out at -0.194 eV per atom.

a = 3.182 Å, b = 4.637 Å, c = 4.427 Å
α = 90.00°, β = 90.00°, γ = 90.00°
Positions (direct):
Ta 0.500 0.500 0.000
Ta 0.000 0.000 0.000
Re 0.000 0.500 0.500
Tc 0.500 0.000 0.500

# 5
Entry from Alexandria via LeMat-Bulk: crystalline Ta2ReTc at its relaxed geometry (PBE-GGA).

Values from the calculation:
The calculation puts the density of states at the Fermi level at 2.56 states/eV/cell. The formation energy comes out at -0.177 eV per atom.

a = 3.190 Å, b = 3.190 Å, c = 6.450 Å
α = 90.00°, β = 90.00°, γ = 90.00°
Positions (direct):
Re 0.500 0.500 0.750
Ta 0.500 0.500 0.260
Ta 0.000 0.000 0.990
Tc 0.000 0.000 0.500

# 6
Entry from Alexandria via LeMat-Bulk: crystalline Ta3ReTc at its relaxed geometry (PBE-GGA).

Values from the calculation:
The calculation puts the density of states at the Fermi level at 7.67 states/eV/cell. The formation energy comes out at 1.590 eV per atom.

a = 4.699 Å, b = 4.699 Å, c = 4.699 Å
α = 90.00°, β = 90.00°, γ = 90.00°
Positions (direct):
Re 0.500 0.500 0.500
Ta 0.000 0.000 0.500
Ta 0.500 0.000 0.000
Ta 0.000 0.500 0.000
Tc 0.000 0.000 0.000

# 7
Entry from Alexandria via LeMat-Bulk: crystalline TaReTc3 at its relaxed geometry (PBE-GGA).

Values from the calculation:
The calculation puts the density of states at the Fermi level at 10.99 states/eV/cell. The formation energy comes out at 2.178 eV per atom.

a = 4.608 Å, b = 4.608 Å, c = 4.608 Å
α = 90.00°, β = 90.00°, γ = 90.00°
Positions (direct):
Re 0.500 0.500 0.500
Tc 0.000 0.000 0.500
Tc 0.500 0.000 0.000
Tc 0.000 0.500 0.000
Ta 0.000 0.000 0.000

# 8
Entry from Alexandria via LeMat-Bulk: crystalline Ta2ReTc at its relaxed geometry (PBE-GGA).

Values from the calculation:
The calculation puts the density of states at the Fermi level at 3.68 states/eV/cell. The formation energy comes out at -0.146 eV per atom.

a = 4.517 Å, b = 4.517 Å, c = 4.517 Å
α = 60.00°, β = 60.00°, γ = 60.00°
Positions (direct):
Ta 0.250 0.250 0.250
Ta 0.000 0.000 0.000
Tc 0.750 0.750 0.750
Re 0.500 0.500 0.500

# 9
Entry from Alexandria via LeMat-Bulk: crystalline Ta4ReTc at its relaxed geometry (PBE-GGA).

Values from the calculation:
The calculation puts the density of states at the Fermi level at 7.58 states/eV/cell. The formation energy comes out at 0.485 eV per atom.

a = 5.319 Å, b = 5.319 Å, c = 5.319 Å
α = 60.00°, β = 60.00°, γ = 60.00°
Positions (direct):
Ta 0.124 0.625 0.625
Ta 0.625 0.625 0.124
Ta 0.625 0.124 0.625
Ta 0.625 0.625 0.625
Tc 0.250 0.250 0.250
Re 0.000 0.000 0.000

# 10
Entry from Alexandria via LeMat-Bulk: crystalline Ta2ReTc at its relaxed geometry (PBE-GGA).

Values from the calculation:
The calculation puts the density of states at the Fermi level at 4.19 states/eV/cell. The formation energy comes out at 0.765 eV per atom.

a = 5.832 Å, b = 5.832 Å, c = 5.832 Å
α = 57.77°, β = 152.00°, γ = 130.57°
Positions (direct):
Ta 0.000 0.754 0.754
Ta 0.000 0.246 0.246
Tc 0.000 0.000 0.000
Re 0.000 0.500 0.500

# 11
Entry from Alexandria via LeMat-Bulk: crystalline Ta2ReTc at its relaxed geometry (PBE-GGA).

Values from the calculation:
The calculation puts the density of states at the Fermi level at 9.04 states/eV/cell. The formation energy comes out at 0.603 eV per atom.

a = 7.158 Å, b = 7.158 Å, c = 5.764 Å
α = 51.61°, β = 51.61°, γ = 90.00°
Positions (direct):
Ta 0.621 0.125 0.250
Ta 0.129 0.625 0.250
Ta 0.375 0.379 0.750
Ta 0.875 0.871 0.750
Re 0.000 0.000 0.000
Re 0.750 0.250 0.500
Tc 0.500 0.500 0.000
Tc 0.250 0.750 0.500

# 12
Entry from Alexandria via LeMat-Bulk: crystalline Ta2ReTc at its relaxed geometry (PBE-GGA).

Values from the calculation:
The calculation puts the density of states at the Fermi level at 2.62 states/eV/cell. The formation energy comes out at -0.199 eV per atom.

a = 5.317 Å, b = 5.227 Å, c = 2.823 Å
α = 78.96°, β = 81.10°, γ = 117.83°
Positions (direct):
Ta 0.000 0.000 0.000
Ta 0.500 0.000 0.500
Re 0.500 0.500 0.000
Tc 0.000 0.500 0.500

# 13
Entry from Alexandria via LeMat-Bulk: crystalline Ta2ReTc at its relaxed geometry (PBE-GGA).

Values from the calculation:
The calculation puts the density of states at the Fermi level at 3.12 states/eV/cell. The formation energy comes out at -0.016 eV per atom.

a = 5.365 Å, b = 5.365 Å, c = 5.365 Å
α = 138.59°, β = 138.59°, γ = 60.00°
Positions (direct):
Tc 0.500 0.500 0.000
Ta 0.000 0.000 0.000
Ta 0.250 0.750 0.500
Re 0.750 0.250 0.500

# 14
Entry from Alexandria via LeMat-Bulk: crystalline Ta2ReTc at its relaxed geometry (PBE-GGA).

Values from the calculation:
The calculation puts the density of states at the Fermi level at 2.52 states/eV/cell. The formation energy comes out at -0.198 eV per atom.

a = 4.422 Å, b = 2.811 Å, c = 5.317 Å
α = 81.17°, β = 90.00°, γ = 90.00°
Positions (direct):
Ta 0.000 0.002 0.000
Ta 0.000 0.498 0.500
Tc 0.500 0.250 0.250
Re 0.500 0.750 0.750

# 15
Entry from Alexandria via LeMat-Bulk: crystalline Ta2ReTc at its relaxed geometry (PBE-GGA).

Values from the calculation:
The calculation puts the density of states at the Fermi level at 0.99 states/eV/cell. The formation energy comes out at -0.459 eV per atom.

a = 3.195 Å, b = 3.195 Å, c = 6.390 Å
α = 90.00°, β = 90.00°, γ = 90.00°
Positions (direct):
Ta 0.000 0.000 0.001
Ta 0.000 0.000 0.499
Tc 0.500 0.500 0.250
Re 0.500 0.500 0.750

# 16
Entry from Alexandria via LeMat-Bulk: crystalline Ta4ReTc at its relaxed geometry (PBE-GGA).

Values from the calculation:
The calculation puts the density of states at the Fermi level at 4.76 states/eV/cell. The formation energy comes out at 0.286 eV per atom.

a = 4.389 Å, b = 4.389 Å, c = 6.222 Å
α = 89.99°, β = 89.99°, γ = 90.00°
Positions (direct):
Ta 0.501 0.997 0.249
Ta 0.001 0.497 0.748
Ta 0.001 0.497 0.249
Ta 0.501 0.997 0.748
Re 0.501 0.497 0.998
Tc 0.001 0.997 0.498

# 17
Entry from Alexandria via LeMat-Bulk: crystalline TaReTc3 at its relaxed geometry (PBE-GGA).

Values from the calculation:
The calculation puts the density of states at the Fermi level at 7.06 states/eV/cell. The formation energy comes out at 1.624 eV per atom.

a = 4.620 Å, b = 4.620 Å, c = 4.620 Å
α = 90.00°, β = 90.00°, γ = 90.00°
Positions (direct):
Tc 0.500 0.000 0.000
Tc 0.000 0.500 0.000
Tc 0.000 0.000 0.500
Re 0.000 0.000 0.000
Ta 0.500 0.500 0.500

# 18
Entry from Alexandria via LeMat-Bulk: crystalline Ta4Re2Tc at its relaxed geometry (PBE-GGA).

Values from the calculation:
The calculation puts the density of states at the Fermi level at 2.00 states/eV/cell. The formation energy comes out at -0.104 eV per atom.

a = 5.474 Å, b = 5.474 Å, c = 5.474 Å
α = 109.52°, β = 109.45°, γ = 109.45°
Positions (direct):
Tc 0.000 0.000 0.000
Re 0.500 0.500 0.000
Re 0.500 0.000 0.500
Ta 0.000 0.000 0.500
Ta 0.500 0.000 0.000
Ta 0.500 0.500 0.500
Ta 0.000 0.500 0.000

# 19
Entry from Alexandria via LeMat-Bulk: crystalline TaRe2TcTe at its relaxed geometry (PBE-GGA).

Values from the calculation:
As for the formation energy from raw total energies: 1961 meV/atom. The calculation puts the density of states at the Fermi level at 5.65 states/eV/cell.

a = 4.677 Å, b = 4.882 Å, c = 4.677 Å
α = 90.00°, β = 90.00°, γ = 90.00°
Positions (direct):
Te 0.000 0.500 0.000
Ta 0.500 0.500 0.500
Tc 0.000 0.000 0.000
Re 0.000 0.000 0.500
Re 0.500 0.000 0.000

# 20
Entry from Alexandria via LeMat-Bulk: crystalline TaTiRe2Tc at its relaxed geometry (PBE-GGA).

Values from the calculation:
The calculation puts the density of states at the Fermi level at 5.27 states/eV/cell. The formation energy comes out at 2.055 eV per atom.

a = 4.722 Å, b = 4.581 Å, c = 4.722 Å
α = 90.00°, β = 90.00°, γ = 90.00°
Positions (direct):
Tc 0.500 0.500 0.500
Re 0.500 0.000 0.000
Re 0.000 0.000 0.500
Ti 0.000 0.500 0.000
Ta 0.000 0.000 0.000